[1]
A geometry-optimized CsZr2TlFe structure, computed with GGA-PBE.

```
CsZr2TlFe
1.0
4.983 0.000 0.000
0.000 5.533 0.000
0.000 0.000 4.983
Zr Fe Tl Cs
2 1 1 1
Direct
0.500 0.000 0.000
0.000 0.000 0.500
0.000 0.000 0.000
0.500 0.500 0.500
0.000 0.500 0.000
```

The calculated density is 7.0 g cm⁻³. As for the density of states at the Fermi level: 6.8 states/eV/f.u. Its crystal system is tetragonal. For the energy of formation, the calculation gives 0.9012 eV/atom.


[2]
A geometry-optimized Cs2VFe structure, computed with GGA-PBE.

```
Cs2VFe
1.0
0.000 4.444 4.444
4.444 0.000 4.444
4.444 4.444 0.000
Cs V Fe
2 1 1
Direct
0.250 0.250 0.250
0.750 0.750 0.750
0.000 0.000 0.000
0.500 0.500 0.500
```

The calculated density is 3.5 g cm⁻³. As for the density of states at the Fermi level: 14.4 states/eV/f.u. Its crystal system is cubic. For the energy of formation, the calculation gives 1.6840 eV/atom.


[3]
A geometry-optimized CsV2Fe structure, computed with GGA-PBE.

```
CsV2Fe
1.0
0.000 3.304 3.304
3.304 0.000 3.304
3.304 3.304 0.000
V Fe Cs
2 1 1
Direct
0.750 0.750 0.750
0.250 0.250 0.250
0.000 0.000 0.000
0.500 0.500 0.500
```

The calculated density is 6.7 g cm⁻³. As for the density of states at the Fermi level: 3.5 states/eV/f.u. Its crystal system is cubic. For the energy of formation, the calculation gives 1.6596 eV/atom.


[4]
A geometry-optimized CsV3Fe structure, computed with GGA-PBE.

```
CsV3Fe
1.0
-0.426 -1.388 -4.480
-2.178 -3.926 1.423
-4.154 2.200 -0.287
Fe V Cs
1 3 1
Direct
0.500 0.500 0.500
0.000 0.000 0.500
0.500 0.000 0.000
0.000 0.500 0.000
0.000 0.000 0.000
```

The energy above the lowest structure with this stoichiometry is 7.680 eV per formula unit. The calculated density is 5.4 g cm⁻³. As for the density of states at the Fermi level: 7.1 states/eV/f.u. Its crystal system is cubic. For the energy of formation, the calculation gives 2.8129 eV/atom.


[5]
A geometry-optimized CsV3Fe structure, computed with GGA-PBE.

```
CsV3Fe
1.0
4.743 0.000 0.000
0.000 4.743 0.000
0.000 0.000 4.743
Fe V Cs
1 3 1
Direct
0.000 0.000 0.000
0.000 0.000 0.500
0.000 0.500 0.000
0.500 0.000 0.000
0.500 0.500 0.500
```

The energy above the lowest structure with this stoichiometry is 0.000 eV per formula unit. The calculated density is 5.3 g cm⁻³. As for the density of states at the Fermi level: 8.4 states/eV/f.u. Its crystal system is cubic. For the energy of formation, the calculation gives 1.2768 eV/atom.


[6]
A geometry-optimized CsV2FeW structure, computed with GGA-PBE.

```
CsV2FeW
1.0
4.659 0.000 0.000
0.000 4.983 0.000
0.000 0.000 4.659
Fe V W Cs
1 2 1 1
Direct
0.500 0.500 0.500
0.000 0.000 0.500
0.500 0.000 0.000
0.000 0.500 0.000
0.000 0.000 0.000
```

The calculated density is 7.3 g cm⁻³. As for the density of states at the Fermi level: 9.4 states/eV/f.u. Its crystal system is tetragonal. For the energy of formation, the calculation gives 3.2357 eV/atom.


[7]
A geometry-optimized CsFeW3 structure, computed with GGA-PBE.

```
CsFeW3
1.0
-4.266 1.819 -0.705
-1.484 -4.126 -1.665
-1.266 -1.291 4.328
Cs W Fe
1 3 1
Direct
0.500 0.500 0.500
0.500 0.000 0.000
0.000 0.000 0.500
0.000 0.500 0.000
0.000 0.000 0.000
```

The energy above the lowest structure with this stoichiometry is 0.000 eV per formula unit. The calculated density is 11.9 g cm⁻³. As for the density of states at the Fermi level: 6.6 states/eV/f.u. Its crystal system is cubic. For the energy of formation, the calculation gives 2.1445 eV/atom.


[8]
A geometry-optimized CsFeW3 structure, computed with GGA-PBE.

```
CsFeW3
1.0
4.884 0.000 0.000
0.000 4.884 0.000
0.000 0.000 4.884
W Cs Fe
3 1 1
Direct
0.000 0.500 0.000
0.000 0.000 0.500
0.500 0.000 0.000
0.000 0.000 0.000
0.500 0.500 0.500
```

The energy above the lowest structure with this stoichiometry is 10.002 eV per formula unit. The calculated density is 10.6 g cm⁻³. As for the density of states at the Fermi level: 6.4 states/eV/f.u. Its crystal system is cubic. For the energy of formation, the calculation gives 4.1449 eV/atom.